No. 1
A plane-wave DFT calculation with PBE-GGA was carried out for crystalline AlTlZn at its relaxed geometry.

The structure in POSCAR format:
```
AlTlZn
1.0
3.2077 0.0000 0.0000
-1.5977 4.2847 0.0000
-0.0662 -0.9195 9.8688
Al Tl Zn
2 2 2
Cartesian
0.0000 0.0000 0.0000
0.0062 3.7303 2.3403
1.5275 0.9678 7.8174
1.6044 3.2153 5.1986
0.0018 1.3148 3.3157
1.6049 1.9015 1.0940
```

Values from the calculation:
For the energy, the calculation gives -14.0 eV per cell. Its energy relative to the elements is 130 meV per atom.


No. 2
A plane-wave DFT calculation with PBE-GGA was carried out for crystalline AlTlZn at its relaxed geometry.

The structure in POSCAR format:
```
AlTlZn
1.0
3.3177 0.0000 0.0000
-1.4793 4.3002 0.0000
-0.1226 -1.2245 9.4650
Al Tl Zn
2 2 2
Cartesian
0.0000 0.0000 0.0000
0.1670 3.6823 2.2432
0.0739 1.1615 7.5281
1.6763 3.1279 5.0502
0.0295 1.2428 3.1643
1.7164 1.8732 0.9901
```

Values from the calculation:
For the energy, the calculation gives -14.0 eV per cell. Its energy relative to the elements is 130 meV per atom.


No. 3
A plane-wave DFT calculation with PBE-GGA was carried out for crystalline Al2TlZn at its relaxed geometry.

The structure in POSCAR format:
```
Al2TlZn
1.0
2.9525 0.0000 0.0000
0.0000 3.8965 0.0000
0.0000 0.0000 7.2524
Al Tl Zn
2 1 1
Cartesian
0.0000 0.0000 1.3841
0.0000 0.0000 5.8683
1.4763 1.9483 3.6262
1.4763 1.9483 0.0000
```

Values from the calculation:
For the energy, the calculation gives -10.3 eV per cell. The energy relative to the lowest polymorph listed for this composition comes out at 30 meV per atom. Its energy relative to the elements is 209 meV per atom.


No. 4
A plane-wave DFT calculation with PBE-GGA was carried out for crystalline Al2TlZn at its relaxed geometry.

The structure in POSCAR format:
```
Al2TlZn
1.0
3.0094 0.0000 0.0000
0.0000 3.0094 0.0000
0.0000 0.0000 9.0029
Al Tl Zn
2 1 1
Cartesian
0.0000 0.0000 1.8751
0.0000 0.0000 7.1277
1.5047 1.5047 4.5014
1.5047 1.5047 0.0000
```

Values from the calculation:
For the energy, the calculation gives -10.3 eV per cell. The energy relative to the lowest polymorph listed for this composition comes out at 19 meV per atom. Its energy relative to the elements is 198 meV per atom.


No. 5
A plane-wave DFT calculation with PBE-GGA was carried out for crystalline AlTlZn2 at its relaxed geometry.

The structure in POSCAR format:
```
AlTlZn2
1.0
2.9535 0.0000 0.0000
0.0000 4.0247 0.0000
0.0000 0.0000 6.7437
Al Tl Zn
1 1 2
Cartesian
0.0000 0.0000 0.0000
1.4768 2.0124 2.0763
0.0000 0.0000 4.0746
1.4768 2.0124 5.4314
```

Values from the calculation:
For the energy, the calculation gives -7.9 eV per cell. The energy relative to the lowest polymorph listed for this composition comes out at 28 meV per atom. Its energy relative to the elements is 194 meV per atom.


No. 6
A plane-wave DFT calculation with PBE-GGA was carried out for crystalline AlTlZn2 at its relaxed geometry.

The structure in POSCAR format:
```
AlTlZn2
1.0
4.3642 0.0000 0.0000
0.0000 4.3642 0.0000
0.0000 0.0000 17.9198
Al Tl Zn
4 4 8
Cartesian
0.0000 0.0000 0.0000
0.0000 2.1821 4.4799
2.1821 0.0000 13.4398
2.1821 2.1821 8.9599
0.0000 0.0000 8.9599
0.0000 2.1821 13.4398
2.1821 0.0000 4.4799
2.1821 2.1821 0.0000
0.7862 1.0910 2.2400
1.0910 2.9683 6.7199
1.0910 3.5780 15.6798
1.3959 1.0910 11.1999
2.9683 3.2731 11.1999
3.2731 0.7862 15.6798
3.2731 1.3959 6.7199
3.5780 3.2731 2.2400
```

Values from the calculation:
For the energy, the calculation gives -30.9 eV per cell. The energy relative to the lowest polymorph listed for this composition comes out at 70 meV per atom. Its energy relative to the elements is 236 meV per atom.


No. 7
A plane-wave DFT calculation with PBE-GGA was carried out for crystalline AlTlZn2 at its relaxed geometry.

The structure in POSCAR format:
```
AlTlZn2
1.0
6.8848 0.0000 0.0000
0.0000 6.8848 0.0000
0.0000 0.0000 6.8848
Al Tl Zn
4 4 8
Cartesian
0.0000 0.0000 0.0000
0.0000 3.4424 3.4424
3.4424 0.0000 3.4424
3.4424 3.4424 0.0000
1.7212 1.7212 5.1636
1.7212 5.1636 1.7212
5.1636 1.7212 1.7212
5.1636 5.1636 5.1636
0.0000 0.0000 3.4424
0.0000 3.4424 0.0000
1.7212 1.7212 1.7212
1.7212 5.1636 5.1636
3.4424 0.0000 0.0000
3.4424 3.4424 3.4424
5.1636 1.7212 5.1636
5.1636 5.1636 1.7212
```

Values from the calculation:
For the energy, the calculation gives -29.6 eV per cell. The energy relative to the lowest polymorph listed for this composition comes out at 146 meV per atom. Its energy relative to the elements is 312 meV per atom.


No. 8
A plane-wave DFT calculation with PBE-GGA was carried out for crystalline AlTl2Zn2 at its relaxed geometry.

The structure in POSCAR format:
```
AlTl2Zn2
1.0
6.9947 0.0000 0.0000
0.0000 6.9947 0.0000
0.0000 0.0000 4.6622
Al Tl Zn
2 4 4
Cartesian
0.0000 0.0000 0.0000
3.4973 3.4973 0.0000
1.2427 2.2546 2.3311
2.2546 5.7519 2.3311
4.7400 1.2427 2.3311
5.7519 4.7400 2.3311
0.9205 4.4178 0.0000
2.5769 0.9205 0.0000
4.4178 6.0742 0.0000
6.0742 2.5769 0.0000
```

Values from the calculation:
For the energy, the calculation gives -20.1 eV per cell. Its energy relative to the elements is 193 meV per atom.


No. 9
A plane-wave DFT calculation with PBE-GGA was carried out for crystalline AlTlZn3 at its relaxed geometry.

The structure in POSCAR format:
```
AlTlZn3
1.0
5.1991 0.0000 0.0000
0.0000 5.1991 0.0000
0.0000 0.0000 5.1991
Al Tl Zn
1 1 3
Cartesian
0.0000 0.0000 0.0000
2.5995 2.5995 2.5995
0.0000 2.5995 2.5995
2.5995 0.0000 2.5995
2.5995 2.5995 0.0000
```

Values from the calculation:
For the energy, the calculation gives -6.1 eV per cell. The energy relative to the lowest polymorph listed for this composition comes out at 424 meV per atom. Its energy relative to the elements is 757 meV per atom.


No. 10
A plane-wave DFT calculation with PBE-GGA was carried out for crystalline AlTl4Zn at its relaxed geometry.

The structure in POSCAR format:
```
AlTl4Zn
1.0
0.0000 4.5067 4.5067
4.5067 0.0000 4.5067
4.5067 4.5067 0.0000
Al Tl Zn
1 4 1
Cartesian
0.0000 0.0000 0.0000
5.6339 3.3794 3.3794
3.3794 5.6339 3.3794
3.3794 3.3794 5.6339
5.6339 5.6339 5.6339
2.2533 2.2533 2.2533
```

Values from the calculation:
For the energy, the calculation gives -11.9 eV per cell. Its energy relative to the elements is 425 meV per atom.


No. 11
A plane-wave DFT calculation with PBE-GGA was carried out for crystalline AlTlZn at its relaxed geometry.

The structure in POSCAR format:
```
AlTlZn
1.0
3.2756 0.0000 0.0000
0.0017 4.2590 0.0000
0.1766 0.4947 9.9853
Al Tl Zn
2 2 2
Cartesian
0.0908 1.0412 3.7592
3.3630 3.7125 6.2261
0.1091 3.1802 1.3533
3.3448 1.5736 8.6320
1.7204 1.5641 6.0223
1.7334 3.1896 3.9630
```

Values from the calculation:
For the energy, the calculation gives -13.9 eV per cell. Its energy relative to the elements is 138 meV per atom.


No. 12
A plane-wave DFT calculation with PBE-GGA was carried out for crystalline AlTlZn2 at its relaxed geometry.

The structure in POSCAR format:
```
AlTlZn2
1.0
8.4125 0.0000 0.0000
0.0000 3.3340 0.0000
-1.2064 0.0000 5.7967
Al Tl Zn
2 2 4
Cartesian
0.0000 0.0000 0.0000
4.2063 1.6670 0.0000
1.1702 0.0000 3.9416
5.3764 1.6670 3.9416
1.7870 1.6670 1.0942
3.5558 0.0000 2.1430
5.9932 0.0000 1.0942
7.7620 1.6670 2.1430
```

Values from the calculation:
For the energy, the calculation gives -16.0 eV per cell. The energy relative to the lowest polymorph listed for this composition comes out at 1 meV per atom. Its energy relative to the elements is 167 meV per atom.


No. 13
A plane-wave DFT calculation with PBE-GGA was carried out for crystalline AlTlZn4 at its relaxed geometry.

The structure in POSCAR format:
```
AlTlZn4
1.0
0.0000 3.8033 3.8033
3.8033 0.0000 3.8033
3.8033 3.8033 0.0000
Al Tl Zn
1 1 4
Cartesian
0.0000 0.0000 0.0000
5.7050 5.7050 5.7050
2.8471 2.8471 2.8471
4.7595 4.7595 2.8471
4.7595 2.8471 4.7595
2.8471 4.7595 4.7595
```

Values from the calculation:
For the energy, the calculation gives -10.1 eV per cell. Its energy relative to the elements is 180 meV per atom.


No. 14
A plane-wave DFT calculation with PBE-GGA was carried out for crystalline Al2TlZn at its relaxed geometry.

The structure in POSCAR format:
```
Al2TlZn
1.0
3.1368 0.0000 0.0000
-1.5684 2.7166 0.0000
0.0000 0.0000 28.5183
Al Tl Zn
6 3 3
Cartesian
0.0000 0.0000 6.8236
0.0000 0.0000 21.6947
0.0000 1.8110 12.1886
0.0000 1.8110 25.8357
1.5684 0.9055 2.6825
1.5684 0.9055 16.3297
0.0000 0.0000 0.0000
0.0000 1.8110 19.0122
1.5684 0.9055 9.5061
0.0000 0.0000 14.2591
0.0000 1.8110 4.7531
1.5684 0.9055 23.7652
```

Values from the calculation:
For the energy, the calculation gives -30.8 eV per cell. The energy relative to the lowest polymorph listed for this composition comes out at 36 meV per atom. Its energy relative to the elements is 215 meV per atom.